# 1
Computed, not measured: CeNbTe after structural relaxation at the PBE level of DFT.

As for the raw formation energy: -0.8 eV per formula unit.

a b c (Å): 10.1672 3.6832 8.1031
angles (deg): 90.00 113.39 90.00
Sites, in units of the cell vectors:
Ce  0.1431  0.0000  0.0786
Ce  0.3569  0.5000  0.9214
Ce  0.6431  0.5000  0.0786
Ce  0.8569  0.0000  0.9214
Nb  0.1722  0.0000  0.5598
Nb  0.3278  0.5000  0.4402
Nb  0.6722  0.5000  0.5598
Nb  0.8278  0.0000  0.4402
Te  0.0067  0.5000  0.7187
Te  0.4933  0.0000  0.2813
Te  0.5067  0.0000  0.7187
Te  0.9933  0.5000  0.2813



# 2
Computed, not measured: Ce2ThNb after structural relaxation at the PBE level of DFT.

The value obtained for the formation energy is 429.0 meV/atom.

a b c (Å): 3.2438 3.2438 34.2035
angles (deg): 90.00 90.00 120.00
Sites, in units of the cell vectors:
Ce  0.0000  0.0000  0.0805
Ce  0.0000  0.0000  0.9195
Ce  0.3333  0.6667  0.5862
Ce  0.3333  0.6667  0.7472
Ce  0.6667  0.3333  0.2528
Ce  0.6667  0.3333  0.4138
Th  0.0000  0.0000  0.5000
Th  0.3333  0.6667  0.1667
Th  0.6667  0.3333  0.8333
Nb  0.0000  0.0000  0.0000
Nb  0.3333  0.6667  0.6667
Nb  0.6667  0.3333  0.3333



# 3
Computed, not measured: CeThNb4 after structural relaxation at the PBE level of DFT.

The value obtained for the formation energy is 111.6 meV/atom.

a b c (Å): 5.7432 5.7432 5.7432
angles (deg): 60.00 60.00 60.00
Sites, in units of the cell vectors:
Ce  0.0000  0.0000  0.0000
Th  0.7500  0.7500  0.7500
Nb  0.3747  0.3747  0.3747
Nb  0.3747  0.3747  0.8760
Nb  0.3747  0.8760  0.3747
Nb  0.8760  0.3747  0.3747



# 4
Computed, not measured: CeTm2Nb after structural relaxation at the PBE level of DFT.

The value obtained for the formation energy is 492.9 meV/atom.

a b c (Å): 3.2168 3.2168 34.5598
angles (deg): 90.00 90.00 120.00
Sites, in units of the cell vectors:
Ce  0.0000  0.0000  0.0000
Ce  0.3333  0.6667  0.6667
Ce  0.6667  0.3333  0.3333
Tm  0.0000  0.0000  0.4159
Tm  0.0000  0.0000  0.5841
Tm  0.3333  0.6667  0.0826
Tm  0.3333  0.6667  0.2508
Tm  0.6667  0.3333  0.7492
Tm  0.6667  0.3333  0.9174
Nb  0.0000  0.0000  0.5000
Nb  0.3333  0.6667  0.1667
Nb  0.6667  0.3333  0.8333



# 5
Computed, not measured: CeUNb after structural relaxation at the PBE level of DFT.

The value obtained for the formation energy is 282.8 meV/atom.

a b c (Å): 3.3867 3.3867 24.5866
angles (deg): 90.00 90.00 90.00
Sites, in units of the cell vectors:
Ce  0.0000  0.0000  0.0742
Ce  0.0000  0.0000  0.9258
Ce  0.5000  0.5000  0.4258
Ce  0.5000  0.5000  0.5742
U  0.0000  0.0000  0.3537
U  0.0000  0.0000  0.6463
U  0.5000  0.5000  0.1463
U  0.5000  0.5000  0.8537
Nb  0.0000  0.0000  0.2154
Nb  0.0000  0.0000  0.7846
Nb  0.5000  0.5000  0.2846
Nb  0.5000  0.5000  0.7154



# 6
Computed, not measured: CeNbV4 after structural relaxation at the PBE level of DFT.

The value obtained for the formation energy is 181.5 meV/atom.

a b c (Å): 5.1807 5.1807 5.1807
angles (deg): 60.00 60.00 60.00
Sites, in units of the cell vectors:
Ce  0.0000  0.0000  0.0000
Nb  0.2500  0.2500  0.2500
V  0.1244  0.6252  0.6252
V  0.6252  0.1244  0.6252
V  0.6252  0.6252  0.1244
V  0.6252  0.6252  0.6252



# 7
Computed, not measured: CeNbV after structural relaxation at the PBE level of DFT.

The value obtained for the formation energy is 192.6 meV/atom.

a b c (Å): 7.2995 6.6664 4.7804
angles (deg): 90.00 90.00 90.00
Sites, in units of the cell vectors:
Ce  0.1301  0.1303  0.2500
Ce  0.1301  0.3697  0.7500
Ce  0.8699  0.6303  0.2500
Ce  0.8699  0.8697  0.7500
Nb  0.4948  0.1214  0.7500
Nb  0.4948  0.3786  0.2500
Nb  0.5052  0.6214  0.7500
Nb  0.5052  0.8786  0.2500
V  0.2264  0.6600  0.2500
V  0.2264  0.8400  0.7500
V  0.7736  0.1600  0.2500
V  0.7736  0.3400  0.7500



# 8
Computed, not measured: Ce2NbZn after structural relaxation at the PBE level of DFT.

The value obtained for the formation energy is 92.0 meV/atom.

a b c (Å): 4.2800 4.2800 4.7032
angles (deg): 90.00 90.00 90.00
Sites, in units of the cell vectors:
Ce  0.0000  0.5000  0.0000
Ce  0.5000  0.0000  0.0000
Nb  0.0000  0.0000  0.5000
Zn  0.5000  0.5000  0.5000



# 9
Computed, not measured: CeNbZn after structural relaxation at the PBE level of DFT.

The value obtained for the formation energy is -10.1 meV/atom.

a b c (Å): 2.8608 2.8608 14.3008
angles (deg): 90.00 90.00 90.00
Sites, in units of the cell vectors:
Ce  0.2500  0.2500  0.1044
Ce  0.7500  0.7500  0.8956
Nb  0.2500  0.2500  0.4175
Nb  0.7500  0.7500  0.5825
Zn  0.2500  0.2500  0.7242
Zn  0.7500  0.7500  0.2758



# 10
Computed, not measured: Ce2NbZn after structural relaxation at the PBE level of DFT.

The value obtained for the formation energy is 279.4 meV/atom.

a b c (Å): 2.9964 2.9964 33.5212
angles (deg): 90.00 90.00 120.00
Sites, in units of the cell vectors:
Ce  0.0000  0.0000  0.0861
Ce  0.0000  0.0000  0.9139
Ce  0.3333  0.6667  0.5806
Ce  0.3333  0.6667  0.7528
Ce  0.6667  0.3333  0.2472
Ce  0.6667  0.3333  0.4194
Nb  0.0000  0.0000  0.0000
Nb  0.3333  0.6667  0.6667
Nb  0.6667  0.3333  0.3333
Zn  0.0000  0.0000  0.5000
Zn  0.3333  0.6667  0.1667
Zn  0.6667  0.3333  0.8333



# 11
Computed, not measured: CeZrNbZn after structural relaxation at the PBE level of DFT.

The value obtained for the formation energy is 28.4 meV/atom.

a b c (Å): 6.9757 6.9757 6.9757
angles (deg): 90.00 90.00 90.00
Sites, in units of the cell vectors:
Ce  0.0000  0.0000  0.0000
Ce  0.0000  0.5000  0.5000
Ce  0.5000  0.0000  0.5000
Ce  0.5000  0.5000  0.0000
Zr  0.0000  0.0000  0.5000
Zr  0.0000  0.5000  0.0000
Zr  0.5000  0.0000  0.0000
Zr  0.5000  0.5000  0.5000
Nb  0.2500  0.2500  0.7500
Nb  0.2500  0.7500  0.2500
Nb  0.7500  0.2500  0.2500
Nb  0.7500  0.7500  0.7500
Zn  0.2500  0.2500  0.2500
Zn  0.2500  0.7500  0.7500
Zn  0.7500  0.2500  0.7500
Zn  0.7500  0.7500  0.2500



# 12
Computed, not measured: Ce2ZrNb after structural relaxation at the PBE level of DFT.

The value obtained for the formation energy is 372.0 meV/atom.

a b c (Å): 3.0593 3.0593 34.7791
angles (deg): 90.00 90.00 120.00
Sites, in units of the cell vectors:
Ce  0.0000  0.0000  0.0821
Ce  0.0000  0.0000  0.9179
Ce  0.3333  0.6667  0.5846
Ce  0.3333  0.6667  0.7488
Ce  0.6667  0.3333  0.2512
Ce  0.6667  0.3333  0.4154
Zr  0.0000  0.0000  0.5000
Zr  0.3333  0.6667  0.1667
Zr  0.6667  0.3333  0.8333
Nb  0.0000  0.0000  0.0000
Nb  0.3333  0.6667  0.6667
Nb  0.6667  0.3333  0.3333



| no. | mass density (g/cm3) |
| --- | --- |
| 1 | 8.60 |
| 2 | 9.67 |
| 3 | 9.22 |
| 4 | 9.18 |
| 5 | 11.10 |
| 6 | 7.38 |
| 7 | 8.11 |
| 8 | 8.45 |
| 9 | 8.47 |
| 10 | 8.38 |
| 11 | 7.62 |
| 12 | 8.21 |